Record 1
{
  "formula": "LiZr2InC",
  "functional": "GGA-PBE",
  "state": "optimized geometry",
  "cell": [[5.2821, 0.0000, 0.0000], [0.0000, 5.2821, 0.0000], [0.0000, 0.0000, 4.4078]],
  "species": ["Li", "Zr", "Zr", "In", "C"],
  "fractional_positions": [[0.0000, 0.0000, 0.0000], [0.0000, 0.5000, 0.5000], [0.5000, 0.0000, 0.5000], [0.0000, 0.0000, 0.5000], [0.5000, 0.5000, 0.0000]],
  "relative_energy_mev_per_atom": 2205,
  "magnetic_moment_mub_per_cell": 0.00,
  "delta_e_f_ev_per_atom": 1.898,
  "energy_ev_per_fu": -21.48
}



Record 2
{
  "formula": "Lu4In2C",
  "functional": "GGA-PBE",
  "state": "optimized geometry",
  "cell": [[-2.3921, 2.3921, 7.5399], [2.3921, -2.3921, 7.5399], [2.3921, 2.3921, -7.5399]],
  "species": ["Lu", "Lu", "Lu", "Lu", "In", "In", "C"],
  "fractional_positions": [[0.0000, 0.5000, 0.5000], [0.1597, 0.1597, 0.0000], [0.5000, 0.0000, 0.5000], [0.8403, 0.8403, 0.0000], [0.3656, 0.3656, 0.0000], [0.6344, 0.6344, 0.0000], [0.0000, 0.0000, 0.0000]],
  "magnetic_moment_mub_per_cell": 0.00,
  "delta_e_f_ev_per_atom": -0.385,
  "energy_ev_per_fu": -35.48
}



Record 3
{
  "formula": "MgInC2",
  "functional": "GGA-PBE",
  "state": "optimized geometry",
  "cell": [[0.0000, 2.9353, 2.9353], [2.9353, 0.0000, 2.9353], [2.9353, 2.9353, 0.0000]],
  "species": ["Mg", "In", "C", "C"],
  "fractional_positions": [[0.0000, 0.0000, 0.0000], [0.5000, 0.5000, 0.5000], [0.2500, 0.2500, 0.2500], [0.7500, 0.7500, 0.7500]],
  "relative_energy_mev_per_atom": 80,
  "magnetic_moment_mub_per_cell": 0.00,
  "delta_e_f_ev_per_atom": 1.656,
  "energy_ev_per_fu": -16.16
}



Record 4
{
  "formula": "MgIn3C",
  "functional": "GGA-PBE",
  "state": "optimized geometry",
  "cell": [[5.4565, 0.0000, 0.0000], [0.0000, 5.4565, 0.0000], [0.0000, 0.0000, 5.4565]],
  "species": ["Mg", "In", "In", "In", "C"],
  "fractional_positions": [[0.0000, 0.0000, 0.0000], [0.0000, 0.0000, 0.5000], [0.0000, 0.5000, 0.0000], [0.5000, 0.0000, 0.0000], [0.5000, 0.5000, 0.5000]],
  "relative_energy_mev_per_atom": 864,
  "magnetic_moment_mub_per_cell": 2.02,
  "delta_e_f_ev_per_atom": 1.632,
  "energy_ev_per_fu": -10.87
}